--- A ---
A geometry-optimized Ta2VHIr structure. Source: Alexandria, functional PBE.

abc: 4.3219 4.3219 3.6012
angles: 90.00 90.00 90.00
Closest atoms and distances in Å follow each position.
Atoms (fractional coordinates):
Ta (0.0000, 0.5000, 0.0000)  2 H 2.16
Ta (0.5000, 0.0000, 0.0000)  2 H 2.16
V (0.0000, 0.0000, 0.5000)  8 Ta 2.81, 4 Ir 3.06
H (0.5000, 0.5000, 0.0000)  2 Ir 1.80
Ir (0.5000, 0.5000, 0.5000)  2 H 1.80

Calculated values
Crystal system: tetragonal
DOS at the Fermi energy (states/eV/cell): 2.406
Calculated density (g/cm³): 15.0

---

--- B ---
A geometry-optimized Ta2VHIr structure. Source: Alexandria, functional PBE.

abc: 4.3533 4.3533 3.4960
angles: 90.00 90.00 90.00
Closest atoms and distances in Å follow each position.
Atoms (fractional coordinates):
Ta (0.0000, 0.5000, 0.0000)  2 H 2.18
Ta (0.5000, 0.0000, 0.0000)  2 H 2.18
V (0.0000, 0.0000, 0.5000)  2 H 1.75
H (0.0000, 0.0000, 0.0000)  2 V 1.75
Ir (0.5000, 0.5000, 0.5000)  8 Ta 2.79, 4 V 3.08

Calculated values
Crystal system: tetragonal
DOS at the Fermi energy (states/eV/cell): 3.535
Calculated density (g/cm³): 15.2

---

Most stable of them? B.